Record 1
Entry from Alexandria: YBe2FeIr after structural relaxation (GGA-PBE).

Calculated values
DFT total energy (eV/f.u.): -27.6
SG: P4/mmm (123)
Volume (A^3/atom): 15.8
ρ (g/cm3): 7.46
Energy of formation from the pure elements (eV/atom): 0.73

abc: 4.106 4.106 4.690
angles: 90.00 90.00 90.00
Sites, in units of the cell vectors:
1 Y 0.000 0.000 0.000
2 Be 0.000 0.500 0.500
3 Be 0.500 0.000 0.500
4 Fe 0.000 0.000 0.500
5 Ir 0.500 0.500 0.000

=====

Record 2
Entry from Alexandria: KBe2Fe after structural relaxation (GGA-PBE).

Calculated values
DFT total energy (eV/f.u.): -15.1
Offset from the most stable computed form (meV per atom): 0
SG: P4/mmm (123)
Volume (A^3/atom): 14.7
ρ (g/cm3): 3.20
Energy of formation from the pure elements (eV/atom): 0.48

abc: 2.841 2.841 7.265
angles: 90.00 90.00 90.00
Sites, in units of the cell vectors:
1 K 0.000 0.000 0.000
2 Be 0.500 0.500 0.361
3 Be 0.500 0.500 0.639
4 Fe 0.000 0.000 0.500

=====

Record 3
Entry from Alexandria: KBe2Fe after structural relaxation (GGA-PBE).

Calculated values
DFT total energy (eV/f.u.): -12.9
Offset from the most stable computed form (meV per atom): 547
SG: Immm (71)
Volume (A^3/atom): 18.6
ρ (g/cm3): 2.53
Energy of formation from the pure elements (eV/atom): 1.02

abc: 5.844 5.844 5.844
angles: 153.80 121.77 64.93
Sites, in units of the cell vectors:
1 K 0.000 0.000 0.000
2 Be 0.321 0.821 0.500
3 Be 0.679 0.179 0.500
4 Fe 0.500 0.500 0.000

=====

Record 4
Entry from Alexandria: KBe2Fe after structural relaxation (GGA-PBE).

Calculated values
DFT total energy (eV/f.u.): -11.3
Offset from the most stable computed form (meV per atom): 941
SG: Pmmm (47)
Volume (A^3/atom): 15.8
ρ (g/cm3): 2.98
Energy of formation from the pure elements (eV/atom): 1.42

abc: 2.578 4.920 4.969
angles: 90.00 90.00 90.00
Sites, in units of the cell vectors:
1 K 0.000 0.000 0.000
2 Be 0.000 0.500 0.500
3 Be 0.500 0.000 0.500
4 Fe 0.500 0.500 0.000

=====

Record 5
Entry from Alexandria: K4BeFe after structural relaxation (GGA-PBE).

Calculated values
DFT total energy (eV/f.u.): -9.2
SG: F-43m (216)
Volume (A^3/atom): 45.3
ρ (g/cm3): 1.35
Energy of formation from the pure elements (eV/atom): 1.23

abc: 7.271 7.271 7.271
angles: 60.00 60.00 60.00
Sites, in units of the cell vectors:
1 K 0.125 0.125 0.125
2 K 0.125 0.125 0.625
3 K 0.125 0.625 0.125
4 K 0.625 0.125 0.125
5 Be 0.750 0.750 0.750
6 Fe 0.500 0.500 0.500

=====

Record 6
Entry from Alexandria: KBe2Fe after structural relaxation (GGA-PBE).

Calculated values
DFT total energy (eV/f.u.): -13.2
Offset from the most stable computed form (meV per atom): 476
SG: I4_1/amd (141)
Volume (A^3/atom): 20.7
ρ (g/cm3): 2.27
Energy of formation from the pure elements (eV/atom): 0.95

abc: 8.383 8.383 8.383
angles: 147.93 147.93 45.99
Sites, in units of the cell vectors:
1 K 0.375 0.625 0.750
2 K 0.625 0.375 0.250
3 Be 0.000 0.000 0.000
4 Be 0.000 0.000 0.500
5 Be 0.000 0.500 0.000
6 Be 0.500 0.000 0.500
7 Fe 0.125 0.875 0.250
8 Fe 0.875 0.125 0.750

=====

Record 7
Entry from Alexandria: KBe2Fe after structural relaxation (GGA-PBE).

Calculated values
DFT total energy (eV/f.u.): -11.2
Offset from the most stable computed form (meV per atom): 976
SG: F-43m (216)
Volume (A^3/atom): 16.6
ρ (g/cm3): 2.83
Energy of formation from the pure elements (eV/atom): 1.45

abc: 4.545 4.545 4.545
angles: 60.00 60.00 60.00
Sites, in units of the cell vectors:
1 K 0.000 0.000 0.000
2 Be 0.500 0.500 0.500
3 Be 0.750 0.750 0.750
4 Fe 0.250 0.250 0.250

=====

Record 8
Entry from Alexandria: KBe2Fe after structural relaxation (GGA-PBE).

Calculated values
DFT total energy (eV/f.u.): -11.6
Offset from the most stable computed form (meV per atom): 878
SG: I4/mmm (139)
Volume (A^3/atom): 16.4
ρ (g/cm3): 2.87
Energy of formation from the pure elements (eV/atom): 1.36

abc: 4.734 4.734 4.734
angles: 127.09 127.09 78.11
Sites, in units of the cell vectors:
1 K 0.000 0.000 0.000
2 Be 0.250 0.750 0.500
3 Be 0.750 0.250 0.500
4 Fe 0.500 0.500 0.000

=====

Record 9
Entry from Alexandria: KBe2Fe2 after structural relaxation (GGA-PBE).

Calculated values
DFT total energy (eV/f.u.): -22.6
Offset from the most stable computed form (meV per atom): 0
SG: P4/mbm (127)
Volume (A^3/atom): 13.8
ρ (g/cm3): 4.05
Energy of formation from the pure elements (eV/atom): 0.58

abc: 7.443 7.443 2.499
angles: 90.00 90.00 90.00
Sites, in units of the cell vectors:
1 K 0.000 0.000 0.000
2 K 0.500 0.500 0.000
3 Be 0.162 0.338 0.500
4 Be 0.338 0.838 0.500
5 Be 0.662 0.162 0.500
6 Be 0.838 0.662 0.500
7 Fe 0.111 0.611 0.000
8 Fe 0.389 0.111 0.000
9 Fe 0.611 0.889 0.000
10 Fe 0.889 0.389 0.000

=====

Record 10
Entry from Alexandria: KBe2Fe after structural relaxation (GGA-PBE).

Calculated values
DFT total energy (eV/f.u.): -14.2
Offset from the most stable computed form (meV per atom): 223
SG: Pmm2 (25)
Volume (A^3/atom): 16.0
ρ (g/cm3): 2.93
Energy of formation from the pure elements (eV/atom): 0.70

abc: 2.574 3.233 7.689
angles: 90.00 90.00 90.00
Sites, in units of the cell vectors:
1 K 0.000 0.000 0.000
2 Be 0.000 0.000 0.486
3 Be 0.500 0.500 0.354
4 Fe 0.500 0.500 0.634

=====

Record 11
Entry from Alexandria: KBe2Fe after structural relaxation (GGA-PBE).

Calculated values
DFT total energy (eV/f.u.): -14.3
Offset from the most stable computed form (meV per atom): 199
SG: Cm (8)
Volume (A^3/atom): 17.2
ρ (g/cm3): 2.73
Energy of formation from the pure elements (eV/atom): 0.68

abc: 4.081 4.081 6.795
angles: 94.70 94.70 37.61
Sites, in units of the cell vectors:
1 K 0.000 0.000 0.000
2 Be 0.232 0.232 0.617
3 Be 0.512 0.512 0.479
4 Fe 0.781 0.781 0.380

=====

Record 12
Entry from Alexandria: KBeFe3 after structural relaxation (GGA-PBE).

Calculated values
DFT total energy (eV/f.u.): -16.9
Offset from the most stable computed form (meV per atom): 1589
SG: Pm-3m (221)
Volume (A^3/atom): 17.1
ρ (g/cm3): 4.19
Energy of formation from the pure elements (eV/atom): 2.67

abc: 4.406 4.406 4.406
angles: 90.00 90.00 90.00
Sites, in units of the cell vectors:
1 K 0.000 0.000 0.000
2 Be 0.500 0.500 0.500
3 Fe 0.000 0.000 0.500
4 Fe 0.000 0.500 0.000
5 Fe 0.500 0.000 0.000